A relaxed Tl2CuSnPt crystal, computed with PBE.

Values from the calculation:
The calculation puts the calculated formation energy at 878 meV per atom. The energy above the most stable polymorph in this dataset comes out at 501 meV/atom. The density of states at the Fermi level comes out at 3.29 states/eV/cell.

Cell: 5.716 5.716 4.765 Å, 90.00 90.00 90.00°
Fractional coordinates of all 5 atoms:
Tl1 0.000 0.500 0.000
Tl2 0.500 0.000 0.000
Cu1 0.000 0.000 0.500
Sn1 0.000 0.000 0.000
Pt1 0.500 0.500 0.500

---

A relaxed TbNi3Rh2 crystal, computed with PBE.

Values from the calculation:
The calculation puts the calculated formation energy at -172 meV per atom. The density of states at the Fermi level comes out at 17.15 states/eV/cell.

Cell: 7.285 7.285 7.285 Å, 44.54 44.54 44.54°
Fractional coordinates of all 12 atoms:
Tb1 0.216 0.216 0.216
Tb2 0.784 0.784 0.784
Ni1 0.256 0.710 0.710
Ni2 0.290 0.290 0.744
Ni3 0.290 0.744 0.290
Ni4 0.710 0.256 0.710
Ni5 0.710 0.710 0.256
Ni6 0.744 0.290 0.290
Rh1 0.000 0.000 0.000
Rh2 0.000 0.500 0.500
Rh3 0.500 0.000 0.500
Rh4 0.500 0.500 0.000

---

A relaxed Mg2H2Ir5 crystal, computed with PBE.

Values from the calculation:
The energy above the most stable polymorph in this dataset comes out at 38 meV/atom. The density of states at the Fermi level comes out at 6.27 states/eV/cell.

Cell: 4.877 4.877 6.304 Å, 97.77 97.77 48.50°
Fractional coordinates of all 9 atoms:
Mg1 0.069 0.069 0.242
Mg2 0.931 0.931 0.758
H1 0.295 0.705 0.000
H2 0.705 0.295 0.000
Ir1 0.218 0.218 0.640
Ir2 0.340 0.340 0.081
Ir3 0.500 0.500 0.500
Ir4 0.660 0.660 0.919
Ir5 0.782 0.782 0.360

---

A relaxed TaP2HO crystal, computed with PBE.

Values from the calculation:
The energy above the most stable polymorph in this dataset comes out at 95 meV/atom. The density of states at the Fermi level comes out at 3.01 states/eV/cell.

Cell: 4.935 4.935 3.895 Å, 90.00 90.00 90.00°
Fractional coordinates of all 5 atoms:
Ta1 0.000 0.000 0.000
P1 0.000 0.500 0.000
P2 0.500 0.000 0.000
H1 0.500 0.500 0.500
O1 0.000 0.000 0.500

---

A relaxed TlNiAu2 crystal, computed with PBE.

Values from the calculation:
The calculation puts the calculated formation energy at 251 meV per atom. The energy above the most stable polymorph in this dataset comes out at 129 meV/atom. The density of states at the Fermi level comes out at 2.36 states/eV/cell.

Cell: 4.662 4.662 4.662 Å, 60.00 60.00 60.00°
Fractional coordinates of all 4 atoms:
Tl1 0.000 0.000 0.000
Ni1 0.500 0.500 0.500
Au1 0.250 0.250 0.250
Au2 0.750 0.750 0.750

---

A relaxed RbTlFeI4 crystal, computed with PBE.

Values from the calculation:
The density of states at the Fermi level comes out at 13.31 states/eV/cell.

Cell: 7.915 8.198 10.062 Å, 90.00 108.18 90.00°
Fractional coordinates of all 14 atoms:
Rb1 0.212 0.250 0.044
Rb2 0.788 0.750 0.956
Tl1 0.257 0.250 0.563
Tl2 0.743 0.750 0.437
Fe1 0.217 0.750 0.788
Fe2 0.783 0.250 0.212
I1 0.003 0.000 0.281
I2 0.003 0.500 0.281
I3 0.372 0.750 0.059
I4 0.422 0.750 0.628
I5 0.578 0.250 0.372
I6 0.628 0.250 0.941
I7 0.997 0.000 0.719
I8 0.997 0.500 0.719

---

Calculated electronic total energy (eV per cell), listed in the same order as above: -14.5; -75.4; -54.6; -30.2; -13.7; -45.2